No. 1
The following is a PBE-GGA calculation of an optimized crystal structure of Y3ErSc2As2Os, from OQMD.

The value obtained for the magnetic moment is 0.02 Bohr magnetons per cell. For the total energy, the calculation gives -7.1812 eV per atom.

a b c (Å): 4.1113 7.6443 7.6443
angles (deg): 119.78 90.00 90.00
Atoms (fractional coordinates):
As  0.0000  0.6640  0.3263
As  0.0000  0.3263  0.6640
Er  0.0000  0.7642  0.7642
Os  0.5000  0.0164  0.0164
Sc  0.0000  0.9982  0.2383
Sc  0.0000  0.2383  0.9982
Y  0.5000  0.5888  0.0014
Y  0.5000  0.4023  0.4023
Y  0.5000  0.0014  0.5888

***

No. 2
The following is a PBE-GGA calculation of an optimized crystal structure of Cu7Ag3, from OQMD.

The relative energy among the computed polymorphs is 40 meV/atom. For the energy of formation from the pure elements, the calculation gives 0.08 eV/atom. For the total energy, the calculation gives -3.3648 eV per atom.

a b c (Å): 4.6616 5.4413 5.9449
angles (deg): 76.80 75.85 72.90
Atoms (fractional coordinates):
Ag  0.4080  0.0989  0.1862
Ag  0.3836  0.6047  0.2012
Ag  0.8113  0.1952  0.4102
Cu  0.8022  0.6951  0.4145
Cu  0.2082  0.7885  0.6150
Cu  0.2004  0.3015  0.6224
Cu  0.6012  0.8929  0.7909
Cu  0.6032  0.4089  0.7952
Cu  0.9942  0.0035  0.9772
Cu  0.9877  0.5110  0.9873